No. 1
The following is a PBE calculation of a relaxed CsCdInAg2 crystal, from the Alexandria database.

As for the formation energy: 0.097 eV per atom. The value obtained for the total moment is 0.0 μB per formula unit. The excess energy over the best structure of this formula in the dataset comes out at 0 meV per atom. The total energy is -9.72 eV for the cell shown.

```
data_CsCdInAg2
_cell_length_a 5.5016
_cell_length_b 5.5016
_cell_length_c 5.7476
_cell_angle_alpha 90.00
_cell_angle_beta 90.00
_cell_angle_gamma 90.00
_space_group_name_H-M_alt 'P 1'
_space_group_IT_number 1
_space_group_name_Hall 'P 1'
loop_
_atom_site_label
_atom_site_type_symbol
_atom_site_fract_x
_atom_site_fract_y
_atom_site_fract_z
Cs1 Cs 0.5000 0.5000 0.5000
Cd1 Cd 0.0000 0.0000 0.5000
Ag1 Ag 0.0000 0.5000 0.0000
Ag2 Ag 0.5000 0.0000 0.0000
In1 In 0.0000 0.0000 0.0000
```



No. 2
The following is a PBE calculation of a relaxed Sr2NpSbO6 crystal, from the Alexandria database.

The value obtained for the total moment is 2.0 μB per formula unit. The total energy is -74.56 eV for the cell shown. Its uncorrected formation energy is -2439 meV per atom.

```
data_Sr2NpSbO6
_cell_length_a 4.5360
_cell_length_b 6.0886
_cell_length_c 6.0886
_cell_angle_alpha 90.00
_cell_angle_beta 90.00
_cell_angle_gamma 90.00
_space_group_name_H-M_alt 'P 1'
_space_group_IT_number 1
_space_group_name_Hall 'P 1'
loop_
_atom_site_label
_atom_site_type_symbol
_atom_site_fract_x
_atom_site_fract_y
_atom_site_fract_z
Sr1 Sr 0.0550 0.5000 0.0000
Sr2 Sr 0.0550 0.0000 0.5000
Np1 Np 0.6544 0.0000 0.0000
Sb1 Sb 0.6444 0.5000 0.5000
O1 O 0.6983 0.2422 0.2422
O2 O 0.6983 0.2422 0.7578
O3 O 0.0849 0.5000 0.5000
O4 O 0.1598 0.0000 0.0000
O5 O 0.6983 0.7578 0.7578
O6 O 0.6983 0.7578 0.2422
```



No. 3
The following is a PBE calculation of a relaxed Rb2MgReI6 crystal, from the Alexandria database.

The value obtained for the total moment is 2.5 μB per formula unit. The total energy is -30.78 eV for the cell shown. Its uncorrected formation energy is -550 meV per atom.

```
data_Rb2MgReI6
_cell_length_a 8.1774
_cell_length_b 8.1774
_cell_length_c 8.1868
_cell_angle_alpha 60.04
_cell_angle_beta 60.04
_cell_angle_gamma 90.00
_space_group_name_H-M_alt 'P 1'
_space_group_IT_number 1
_space_group_name_Hall 'P 1'
loop_
_atom_site_label
_atom_site_type_symbol
_atom_site_fract_x
_atom_site_fract_y
_atom_site_fract_z
I1 I 0.2405 0.2405 0.5190
I2 I 0.7595 0.7595 0.4810
I3 I 0.2413 0.2413 0.0000
I4 I 0.7587 0.7587 0.0000
I5 I 0.7587 0.2413 0.0000
I6 I 0.2413 0.7587 0.0000
Re1 Re 0.0000 0.0000 0.0000
Mg1 Mg 0.5000 0.5000 0.0000
Rb1 Rb 0.7500 0.2500 0.5000
Rb2 Rb 0.2500 0.7500 0.5000
```



No. 4
The following is a PBE calculation of a relaxed InSn3W crystal, from the Alexandria database.

As for the formation energy: 0.412 eV per atom. The value obtained for the total moment is 0.0 μB per formula unit. The excess energy over the best structure of this formula in the dataset comes out at 0 meV per atom. The total energy is -25.64 eV for the cell shown.

```
data_InSn3W
_cell_length_a 5.3120
_cell_length_b 5.3120
_cell_length_c 5.3120
_cell_angle_alpha 90.00
_cell_angle_beta 90.00
_cell_angle_gamma 90.00
_space_group_name_H-M_alt 'P 1'
_space_group_IT_number 1
_space_group_name_Hall 'P 1'
loop_
_atom_site_label
_atom_site_type_symbol
_atom_site_fract_x
_atom_site_fract_y
_atom_site_fract_z
Sn1 Sn 0.0000 0.5000 0.0000
Sn2 Sn 0.0000 0.0000 0.5000
Sn3 Sn 0.5000 0.0000 0.0000
W1 W 0.0000 0.0000 0.0000
In1 In 0.5000 0.5000 0.5000
```



No. 5
The following is a PBE calculation of a relaxed PaBeAlTc crystal, from the Alexandria database.

As for the formation energy: -0.008 eV per atom. The value obtained for the total moment is 0.0 μB per formula unit. The total energy is -27.36 eV for the cell shown.

```
data_PaBeAlTc
_cell_length_a 4.5658
_cell_length_b 4.5658
_cell_length_c 4.5658
_cell_angle_alpha 60.00
_cell_angle_beta 60.00
_cell_angle_gamma 60.00
_space_group_name_H-M_alt 'P 1'
_space_group_IT_number 1
_space_group_name_Hall 'P 1'
loop_
_atom_site_label
_atom_site_type_symbol
_atom_site_fract_x
_atom_site_fract_y
_atom_site_fract_z
Be1 Be 0.2500 0.2500 0.2500
Pa1 Pa 0.0000 0.0000 0.0000
Tc1 Tc 0.7500 0.7500 0.7500
Al1 Al 0.5000 0.5000 0.5000
```



No. 6
The following is a PBE calculation of a relaxed NbTl2F6 crystal, from the Alexandria database.

The value obtained for the total moment is 1.0 μB per formula unit. The total energy is -96.80 eV for the cell shown. Its uncorrected formation energy is -2485 meV per atom.

```
data_NbTl2F6
_cell_length_a 5.8143
_cell_length_b 5.8143
_cell_length_c 11.8652
_cell_angle_alpha 90.00
_cell_angle_beta 90.00
_cell_angle_gamma 90.00
_space_group_name_H-M_alt 'P 1'
_space_group_IT_number 1
_space_group_name_Hall 'P 1'
loop_
_atom_site_label
_atom_site_type_symbol
_atom_site_fract_x
_atom_site_fract_y
_atom_site_fract_z
Nb1 Nb 0.0000 0.0000 0.0000
Nb2 Nb 0.5000 0.5000 0.5000
Tl1 Tl 0.0000 0.0000 0.3334
Tl2 Tl 0.5000 0.5000 0.8334
Tl3 Tl 0.5000 0.5000 0.1666
Tl4 Tl 0.0000 0.0000 0.6666
F1 F 0.3329 0.3329 0.3716
F2 F 0.6671 0.6671 0.3716
F3 F 0.1671 0.8329 0.8716
F4 F 0.8329 0.1671 0.8716
F5 F 0.1671 0.8329 0.1284
F6 F 0.8329 0.1671 0.1284
F7 F 0.3329 0.3329 0.6284
F8 F 0.6671 0.6671 0.6284
F9 F 0.2388 0.2388 0.0000
F10 F 0.7612 0.7612 0.0000
F11 F 0.2612 0.7388 0.5000
F12 F 0.7388 0.2612 0.5000
```



No. 7
The following is a PBE calculation of a relaxed Sc5TlPb crystal, from the Alexandria database.

As for the formation energy: -0.104 eV per atom. The value obtained for the total moment is 0.0 μB per formula unit. The total energy is -76.92 eV for the cell shown.

```
data_Sc5TlPb
_cell_length_a 5.7700
_cell_length_b 5.7700
_cell_length_c 10.6607
_cell_angle_alpha 99.28
_cell_angle_beta 99.28
_cell_angle_gamma 91.30
_space_group_name_H-M_alt 'P 1'
_space_group_IT_number 1
_space_group_name_Hall 'P 1'
loop_
_atom_site_label
_atom_site_type_symbol
_atom_site_fract_x
_atom_site_fract_y
_atom_site_fract_z
Sc1 Sc 0.0043 0.5871 0.1581
Sc2 Sc 0.2391 0.5199 0.4694
Sc3 Sc 0.5871 0.0043 0.6581
Sc4 Sc 0.8755 0.1245 0.2500
Sc5 Sc 0.4801 0.7609 0.0306
Sc6 Sc 0.5199 0.2391 0.9694
Sc7 Sc 0.1245 0.8755 0.7500
Sc8 Sc 0.4129 0.9957 0.3419
Sc9 Sc 0.7609 0.4801 0.5306
Sc10 Sc 0.9957 0.4129 0.8419
Tl1 Tl 0.0000 0.0000 0.0000
Tl2 Tl 0.0000 0.0000 0.5000
Pb1 Pb 0.5177 0.4823 0.2500
Pb2 Pb 0.4823 0.5177 0.7500
```



No. 8
The following is a PBE calculation of a relaxed MnCd2PbCl8 crystal, from the Alexandria database.

The value obtained for the total moment is 5.0 μB per formula unit. The total energy is -42.30 eV for the cell shown. Its uncorrected formation energy is -1068 meV per atom.

```
data_MnCd2PbCl8
_cell_length_a 6.4682
_cell_length_b 6.1726
_cell_length_c 8.0879
_cell_angle_alpha 90.00
_cell_angle_beta 90.00
_cell_angle_gamma 89.27
_space_group_name_H-M_alt 'P 1'
_space_group_IT_number 1
_space_group_name_Hall 'P 1'
loop_
_atom_site_label
_atom_site_type_symbol
_atom_site_fract_x
_atom_site_fract_y
_atom_site_fract_z
Mn1 Mn 0.0000 0.0000 0.0000
Cd1 Cd 0.5000 0.5001 0.7619
Cd2 Cd 0.5000 0.4999 0.2381
Pb1 Pb 0.0000 0.0000 0.5000
Cl1 Cl 0.1669 0.7711 0.2197
Cl2 Cl 0.6736 0.7331 0.0000
Cl3 Cl 0.8332 0.2290 0.2198
Cl4 Cl 0.8331 0.2289 0.7803
Cl5 Cl 0.3264 0.2669 0.0000
Cl6 Cl 0.1668 0.7710 0.7802
Cl7 Cl 0.6466 0.7165 0.5000
Cl8 Cl 0.3534 0.2835 0.5000
```



Q: Which value of total moment does entry 3 give?
A: 2.5 μB per formula unit



Q: Among the records above, which one has the highest total moment?
A: MnCd2PbCl8



Q: total moment of number 3 (Rb2MgReI6)?
A: 2.5 μB per formula unit